[1]
Below is a relaxed structure of BeAsPt, with properties calculated at the PBE level.

## Properties
E_form ... -0.0917 eV/atom
ΔE to the lowest computed polymorph ... 0.65 eV per formula unit
Symmetry ... I4mm, No. 107

Cell lengths 4.338, 4.338, 4.338 Å; angles 132.61, 132.61, 69.26 degrees
Fractional coordinates of all 3 atoms:
Be: 0.000 0.000 0.000
As: 0.683 0.683 0.000
Pt: 0.335 0.335 0.000

---

[2]
Below is a relaxed structure of Li3La, with properties calculated at the PBE level.

## Properties
E_form ... 0.2081 eV/atom
ΔE to the lowest computed polymorph ... 0.70 eV per formula unit
Symmetry ... Cmcm, No. 63

Cell lengths 6.206, 6.206, 5.441 Å; angles 90.00, 90.00, 100.58 degrees
Fractional coordinates of all 8 atoms:
Li: 0.057 0.943 0.750
Li: 0.090 0.577 0.250
Li: 0.423 0.910 0.250
Li: 0.577 0.090 0.750
Li: 0.910 0.423 0.750
Li: 0.943 0.057 0.250
La: 0.422 0.578 0.750
La: 0.578 0.422 0.250

---

[3]
Below is a relaxed structure of SmHo7Tm3, with properties calculated at the PBE level.

## Properties
E_form ... 0.2676 eV/atom
ΔE to the lowest computed polymorph ... 1.30 eV per formula unit
Symmetry ... C2/m, No. 12

Cell lengths 8.348, 8.348, 5.735 Å; angles 110.02, 110.02, 83.40 degrees
Fractional coordinates of all 11 atoms:
Sm: 0.000 0.000 0.000
Ho: 0.000 0.000 0.500
Ho: 0.099 0.495 0.797
Ho: 0.293 0.293 0.294
Ho: 0.495 0.099 0.797
Ho: 0.505 0.901 0.203
Ho: 0.707 0.707 0.706
Ho: 0.901 0.505 0.203
Tm: 0.295 0.705 0.500
Tm: 0.500 0.500 0.000
Tm: 0.705 0.295 0.500

---

[4]
Below is a relaxed structure of Hf6NiSb2, with properties calculated at the PBE level.

## Properties
ΔE to the lowest computed polymorph ... 0.00 eV per formula unit
E_form (uncorrected) ... -0.497 eV per atom
Symmetry ... P-62m, No. 189

Cell lengths 7.713, 7.713, 3.628 Å; angles 90.00, 90.00, 120.00 degrees
Fractional coordinates of all 9 atoms:
Hf: 0.000 0.398 0.000
Hf: 0.000 0.760 0.500
Hf: 0.240 0.240 0.500
Hf: 0.398 0.000 0.000
Hf: 0.602 0.602 0.000
Hf: 0.760 0.000 0.500
Ni: 0.000 0.000 0.000
Sb: 0.333 0.667 0.500
Sb: 0.667 0.333 0.500

---

[5]
Below is a relaxed structure of Sr3Cd4In7, with properties calculated at the PBE level.

## Properties
E_form ... -0.3052 eV/atom
Symmetry ... C2/m, No. 12

Cell lengths 9.346, 9.346, 11.331 Å; angles 127.07, 127.07, 30.55 degrees
Fractional coordinates of all 14 atoms:
Sr: 0.000 0.000 0.000
Sr: 0.304 0.304 0.307
Sr: 0.696 0.696 0.693
Cd: 0.145 0.145 0.418
Cd: 0.345 0.345 0.971
Cd: 0.655 0.655 0.029
Cd: 0.855 0.855 0.582
In: 0.000 0.000 0.500
In: 0.148 0.148 0.875
In: 0.343 0.343 0.713
In: 0.499 0.499 0.309
In: 0.501 0.501 0.691
In: 0.657 0.657 0.287
In: 0.852 0.852 0.125

---

[6]
Below is a relaxed structure of ZrRhBr2, with properties calculated at the PBE level.

## Properties
ΔE to the lowest computed polymorph ... 1.39 eV per formula unit
E_form (uncorrected) ... -0.349 eV per atom
Symmetry ... Imm2, No. 44

Cell lengths 6.776, 6.776, 6.776 Å; angles 151.01, 136.15, 53.43 degrees
Fractional coordinates of all 4 atoms:
Zr: 0.000 0.000 0.000
Rh: 0.849 0.349 0.500
Br: 0.190 0.690 0.500
Br: 0.477 0.477 0.000

---

[7]
Below is a relaxed structure of TiPdN2O, with properties calculated at the PBE level.

## Properties
E_form (uncorrected) ... 0.767 eV per atom
Symmetry ... P4/mmm, No. 123

Cell lengths 3.874, 3.874, 3.896 Å; angles 90.00, 90.00, 90.00 degrees
Fractional coordinates of all 5 atoms:
Ti: 0.000 0.000 0.000
Pd: 0.500 0.500 0.500
N: 0.000 0.500 0.500
N: 0.500 0.000 0.500
O: 0.500 0.500 0.000

---

[8]
Below is a relaxed structure of Sr2PtPbAu, with properties calculated at the PBE level.

## Properties
E_form ... -0.4184 eV/atom
Symmetry ... P4/mmm, No. 123

Cell lengths 5.927, 5.927, 5.085 Å; angles 90.00, 90.00, 90.00 degrees
Fractional coordinates of all 5 atoms:
Sr: 0.000 0.500 0.000
Sr: 0.500 0.000 0.000
Pt: 0.000 0.000 0.000
Pb: 0.000 0.000 0.500
Au: 0.500 0.500 0.500